Entry 1:
Density functional theory data (PBE) for NdDyEr2 after structural relaxation.

Lattice parameters (Å, degrees): 5.0384 5.0384 5.0170 90.00 90.00 90.00
With the nearest neighbours (Å) after each atom.
Atoms (fractional coordinates):
Nd: 0.0000 0.0000 0.0000  8 Er 3.56, 4 Dy 3.56
Dy: 0.5000 0.5000 0.0000  8 Er 3.56, 4 Nd 3.56
Er: 0.0000 0.5000 0.5000  4 Dy 3.56, 4 Nd 3.56, 4 Er 3.56
Er: 0.5000 0.0000 0.5000  4 Dy 3.56, 4 Nd 3.56, 4 Er 3.56

Values from the calculation:
symmetry	No. 123
relative energy among the computed polymorphs	0.023	eV/atom
formation energy from the elements	0.023	eV/atom

Entry 2:
Density functional theory data (PBE) for Nd3Dy4Er5 after structural relaxation.

Lattice parameters (Å, degrees): 9.4554 9.4554 8.6187 115.54 115.54 35.10
With the nearest neighbours (Å) after each atom.
Atoms (fractional coordinates):
Nd: 0.0000 0.0000 0.0000  2 Er 2.85
Nd: 0.3147 0.3147 0.7832  2 Er 3.00-3.34
Nd: 0.6853 0.6853 0.2168  2 Er 3.00-3.34
Dy: 0.2956 0.2956 0.3444  1 Dy 3.28, 3 Nd 3.36-3.64, 3 Er 3.45-3.64
Dy: 0.4690 0.4690 0.3073  1 Er 2.94, 2 Dy 2.99-3.28
Dy: 0.5310 0.5310 0.6927  1 Er 2.94, 2 Dy 2.99-3.28
Dy: 0.7044 0.7044 0.6556  1 Dy 3.28, 3 Nd 3.36-3.64, 3 Er 3.45-3.64
Er: 0.1034 0.1034 0.4349  2 Nd 3.35-3.63, 4 Dy 3.45-3.58, 1 Er 3.52
Er: 0.1551 0.1551 0.8809  2 Nd 3.34-3.39, 1 Er 3.52, 3 Dy 3.53-3.64
Er: 0.5000 0.5000 0.0000  4 Nd 2.85-3.00, 2 Dy 2.94
Er: 0.8449 0.8449 0.1191  2 Nd 3.34-3.39, 1 Er 3.52, 3 Dy 3.53-3.64
Er: 0.8966 0.8966 0.5651  2 Nd 3.35-3.63, 4 Dy 3.45-3.58, 1 Er 3.52

Values from the calculation:
symmetry	No. 12
relative energy among the computed polymorphs	0.266	eV/atom
formation energy from the elements	0.285	eV/atom